1.
Rb3AgAu2I9 | PBE-GGA | optimized geometry

abc: 8.227 8.227 10.093
angles: 90.00 90.00 120.00
Element x y z (fractional)
Rb (0.000, 0.000, 0.000)
Rb (0.333, 0.667, 0.660)
Rb (0.667, 0.333, 0.340)
Ag (0.000, 0.000, 0.500)
Au (0.333, 0.667, 0.165)
Au (0.667, 0.333, 0.835)
I (0.000, 0.500, 0.000)
I (0.167, 0.335, 0.329)
I (0.167, 0.833, 0.329)
I (0.335, 0.167, 0.671)
I (0.500, 0.000, 0.000)
I (0.500, 0.500, 0.000)
I (0.665, 0.833, 0.329)
I (0.833, 0.167, 0.671)
I (0.833, 0.665, 0.671)

- Volume: 39.44 Å³ per atom
- Space group: No. 164
- Energy: -35.7 eV/cell
- E_form (uncorrected): -0.63 eV per atom
- Size of the total moment: 0.000 μB per formula unit

---

2.
CsTiAgF6 | PBE-GGA | optimized geometry

abc: 5.827 6.111 6.135
angles: 119.83 90.40 90.05
Element x y z (fractional)
Cs (0.000, 0.000, 0.000)
Ti (0.501, 0.660, 0.332)
Ag (0.499, 0.332, 0.669)
F (0.300, 0.642, 0.080)
F (0.320, 0.412, 0.359)
F (0.325, 0.921, 0.587)
F (0.676, 0.410, 0.059)
F (0.684, 0.919, 0.341)
F (0.701, 0.633, 0.564)

- Volume: 21.06 Å³ per atom
- Space group: No. 1
- Energy: -48.3 eV/cell
- E_form (uncorrected): -2.83 eV per atom
- Size of the total moment: 0.117 μB per formula unit

---

3.
Ta2BeP | PBE-GGA | optimized geometry

abc: 3.027 3.027 6.321
angles: 90.00 90.00 90.00
Element x y z (fractional)
Ta (0.000, 0.000, 0.240)
Ta (0.000, 0.000, 0.760)
Be (0.500, 0.500, 0.500)
P (0.500, 0.500, 0.000)

- Formation energy: -130 meV/atom
- Offset from the most stable computed form: 519.2 meV/atom
- Volume: 14.48 Å³ per atom
- Space group: No. 123
- Energy: -33.4 eV/cell
- Size of the total moment: 0.000 μB per formula unit

---

4.
MgZrI | PBE-GGA | optimized geometry

abc: 3.661 3.663 15.399
angles: 90.27 90.04 119.98
Element x y z (fractional)
Mg (0.000, 0.000, 0.000)
Mg (0.324, 0.650, 0.525)
Zr (0.330, 0.660, 0.838)
Zr (0.660, 0.322, 0.687)
I (0.335, 0.669, 0.122)
I (0.655, 0.314, 0.403)

- Offset from the most stable computed form: 124.5 meV/atom
- Volume: 29.81 Å³ per atom
- Space group: No. 1
- Energy: -24.5 eV/cell
- E_form (uncorrected): -0.18 eV per atom
- Size of the total moment: 0.000 μB per formula unit

---

5.
Pm3MnC3 | PBE-GGA | optimized geometry

abc: 6.829 6.829 5.302
angles: 90.00 90.00 101.40
Element x y z (fractional)
Pm (0.108, 0.892, 0.750)
Pm (0.171, 0.414, 0.750)
Pm (0.414, 0.171, 0.250)
Pm (0.586, 0.829, 0.750)
Pm (0.829, 0.586, 0.250)
Pm (0.892, 0.108, 0.250)
Mn (0.300, 0.700, 0.250)
Mn (0.700, 0.300, 0.750)
C (0.127, 0.873, 0.250)
C (0.178, 0.441, 0.250)
C (0.441, 0.178, 0.750)
C (0.559, 0.822, 0.250)
C (0.822, 0.559, 0.750)
C (0.873, 0.127, 0.750)

- Formation energy: -188 meV/atom
- Volume: 17.32 Å³ per atom
- Space group: No. 63
- Energy: -104.8 eV/cell
- Size of the total moment: 0.000 μB per formula unit

---

6.
CuH2WBr | PBE-GGA | optimized geometry

abc: 3.661 3.661 5.823
angles: 90.00 90.00 90.00
Element x y z (fractional)
Cu (0.000, 0.000, 0.000)
H (0.000, 0.500, 0.000)
H (0.500, 0.000, 0.000)
W (0.500, 0.500, 0.500)
Br (0.000, 0.000, 0.500)

- Volume: 15.61 Å³ per atom
- Space group: No. 123
- Energy: -18.9 eV/cell
- Size of the total moment: 3.961 μB per formula unit